The following is a PBE-GGA calculation of a geometry-optimized NbTl2Si structure, from the Alexandria database.

a = 6.294 Å, b = 6.294 Å, c = 6.294 Å
α = 101.76°, β = 101.76°, γ = 126.32°
Atoms (fractional coordinates):
Nb1 0.000 0.000 0.000
Nb2 0.750 0.250 0.500
Tl1 0.142 0.625 0.017
Tl2 0.375 0.392 0.517
Tl3 0.608 0.125 0.983
Tl4 0.875 0.858 0.483
Si1 0.250 0.750 0.500
Si2 0.500 0.500 0.000

Values from the calculation:
space-group type: I-42d
theoretical density: 9816 kg/m3
spin magnetization: 0.00 μB/f.u.
polymorph energy (0 for the lowest one): 0.0 meV/atom
raw formation energy: 0.759 eV/atom